[1]
Density functional theory data (PBE) for crystalline BeSi2Rh at its relaxed geometry.

```
data_BeSi2Rh
_space_group_name_H-M_alt 'P 4 m m'
_space_group_IT_number 99
_cell_length_a 3.192
_cell_length_b 3.192
_cell_length_c 4.867
_cell_angle_alpha 90.00
_cell_angle_beta 90.00
_cell_angle_gamma 90.00
loop_
_space_group_symop_operation_xyz
'x,y,z'
'-y,x,z'
'-x,-y,z'
'y,-x,z'
'-x,y,z'
'y,x,z'
'x,-y,z'
'-y,-x,z'
loop_
_atom_site_label
_atom_site_fract_x
_atom_site_fract_y
_atom_site_fract_z
Be1 0.000 0.000 0.000
Si1 0.000 0.000 0.518
Si2 0.500 0.500 0.781
Rh1 0.500 0.500 0.271
```

Summary:
- E_form (uncorrected) (eV per atom) = -0.2183
- calculated volume (Å³ per atom) = 12.40
- calculated total energy (eV per atom) = -5.699
- E above lowest polymorph (eV/atom) = 0.055
- crystal system = tetragonal

***

[2]
Density functional theory data (PBE) for crystalline BeSiRh at its relaxed geometry.

```
data_BeSiRh
_space_group_name_H-M_alt 'C 1 m 1'
_space_group_IT_number 8
_cell_length_a 6.669
_cell_length_b 3.863
_cell_length_c 3.837
_cell_angle_alpha 90.00
_cell_angle_beta 124.89
_cell_angle_gamma 90.00
loop_
_space_group_symop_operation_xyz
'x,y,z'
'x,-y,z'
'x+1/2,y+1/2,z'
'x+1/2,-y+1/2,z'
loop_
_atom_site_label
_atom_site_fract_x
_atom_site_fract_y
_atom_site_fract_z
Be1 0.000 0.000 0.000
Si1 0.249 0.500 0.249
Rh1 0.497 0.000 0.499
```

Summary:
- E_form (uncorrected) (eV per atom) = -0.2742
- calculated volume (Å³ per atom) = 13.51
- calculated total energy (eV per atom) = -5.774
- E above lowest polymorph (eV/atom) = 0.305
- crystal system = monoclinic

***

[3]
Density functional theory data (PBE) for crystalline Sm2Be3Si4Rh at its relaxed geometry.

```
data_Sm2Be3Si4Rh
_space_group_name_H-M_alt 'P -4 m 2'
_space_group_IT_number 115
_cell_length_a 3.955
_cell_length_b 3.955
_cell_length_c 9.873
_cell_angle_alpha 90.00
_cell_angle_beta 90.00
_cell_angle_gamma 90.00
loop_
_space_group_symop_operation_xyz
'x,y,z'
'y,-x,-z'
'-x,-y,z'
'-y,x,-z'
'-x,y,z'
'-y,-x,-z'
'x,-y,z'
'y,x,-z'
loop_
_atom_site_label
_atom_site_fract_x
_atom_site_fract_y
_atom_site_fract_z
Sm1 0.000 0.500 0.242
Be1 0.000 0.500 0.870
Be2 0.500 0.500 0.500
Si1 0.000 0.000 0.000
Si2 0.000 0.500 0.635
Si3 0.500 0.500 0.000
Rh1 0.000 0.000 0.500
```

Summary:
- E_form (uncorrected) (eV per atom) = -0.5475
- calculated volume (Å³ per atom) = 15.44
- calculated total energy (eV per atom) = -5.514
- crystal system = tetragonal

***

[4]
Density functional theory data (PBE) for crystalline Sm2BeSi2Rh5 at its relaxed geometry.

```
data_Sm2BeSi2Rh5
_space_group_name_H-M_alt 'P 4/m b m'
_space_group_IT_number 127
_space_group_name_Hall '-P 4 2ab'
_cell_length_a 9.817
_cell_length_b 9.817
_cell_length_c 3.373
_cell_angle_alpha 90.00
_cell_angle_beta 90.00
_cell_angle_gamma 90.00
loop_
_atom_site_label
_atom_site_fract_x
_atom_site_fract_y
_atom_site_fract_z
Sm1 0.174 0.326 0.000
Be1 0.000 0.000 0.000
Si1 0.126 0.626 0.000
Rh1 0.000 0.500 0.500
Rh2 0.066 0.794 0.500
```

Summary:
- E_form (uncorrected) (eV per atom) = -0.7666
- calculated volume (Å³ per atom) = 16.25
- calculated total energy (eV per atom) = -6.843
- crystal system = tetragonal

***

[5]
Density functional theory data (PBE) for crystalline Sm2Be4Si3Rh at its relaxed geometry.

```
data_Sm2Be4Si3Rh
_space_group_name_H-M_alt 'P -4 m 2'
_space_group_IT_number 115
_cell_length_a 3.883
_cell_length_b 3.883
_cell_length_c 9.874
_cell_angle_alpha 90.00
_cell_angle_beta 90.00
_cell_angle_gamma 90.00
loop_
_space_group_symop_operation_xyz
'x,y,z'
'y,-x,-z'
'-x,-y,z'
'-y,x,-z'
'-x,y,z'
'-y,-x,-z'
'x,-y,z'
'y,x,-z'
loop_
_atom_site_label
_atom_site_fract_x
_atom_site_fract_y
_atom_site_fract_z
Sm1 0.000 0.500 0.245
Be1 0.000 0.000 0.000
Be2 0.000 0.500 0.631
Be3 0.500 0.500 0.000
Si1 0.000 0.500 0.869
Si2 0.500 0.500 0.500
Rh1 0.000 0.000 0.500
```

Summary:
- E_form (uncorrected) (eV per atom) = -0.5172
- calculated volume (Å³ per atom) = 14.89
- calculated total energy (eV per atom) = -5.314
- crystal system = tetragonal

***

[6]
Density functional theory data (PBE) for crystalline Sm2BeSi4Rh3 at its relaxed geometry.

```
data_Sm2BeSi4Rh3
_space_group_name_H-M_alt 'P -4 m 2'
_space_group_IT_number 115
_cell_length_a 4.116
_cell_length_b 4.116
_cell_length_c 9.908
_cell_angle_alpha 90.00
_cell_angle_beta 90.00
_cell_angle_gamma 90.00
loop_
_space_group_symop_operation_xyz
'x,y,z'
'y,-x,-z'
'-x,-y,z'
'-y,x,-z'
'-x,y,z'
'-y,-x,-z'
'x,-y,z'
'y,x,-z'
loop_
_atom_site_label
_atom_site_fract_x
_atom_site_fract_y
_atom_site_fract_z
Sm1 0.000 0.500 0.248
Be1 0.500 0.500 0.000
Si1 0.000 0.000 0.500
Si2 0.000 0.500 0.869
Si3 0.500 0.500 0.500
Rh1 0.000 0.000 0.000
Rh2 0.000 0.500 0.626
```

Summary:
- E_form (uncorrected) (eV per atom) = -0.8634
- calculated volume (Å³ per atom) = 16.78
- calculated total energy (eV per atom) = -6.555
- crystal system = tetragonal

***

[7]
Density functional theory data (PBE) for crystalline SmBeSi2Rh at its relaxed geometry.

```
data_SmBeSi2Rh
_space_group_name_H-M_alt 'I -4 m 2'
_space_group_IT_number 119
_space_group_name_Hall 'I -4 -2'
_cell_length_a 3.955
_cell_length_b 3.955
_cell_length_c 10.272
_cell_angle_alpha 90.00
_cell_angle_beta 90.00
_cell_angle_gamma 90.00
loop_
_atom_site_label
_atom_site_fract_x
_atom_site_fract_y
_atom_site_fract_z
Sm1 0.000 0.000 0.000
Be1 0.000 0.500 0.750
Si1 0.000 0.000 0.381
Rh1 0.000 0.500 0.250
```

Summary:
- E_form (uncorrected) (eV per atom) = -0.7682
- calculated volume (Å³ per atom) = 16.07
- calculated total energy (eV per atom) = -6.097
- crystal system = tetragonal

***

[8]
Density functional theory data (PBE) for crystalline Be2SiSnRh at its relaxed geometry.

```
data_Be2SiSnRh
_space_group_name_H-M_alt 'P 4/m m m'
_space_group_IT_number 123
_space_group_name_Hall '-P 4 2'
_cell_length_a 4.020
_cell_length_b 4.020
_cell_length_c 5.532
_cell_angle_alpha 90.00
_cell_angle_beta 90.00
_cell_angle_gamma 90.00
loop_
_atom_site_label
_atom_site_fract_x
_atom_site_fract_y
_atom_site_fract_z
Be1 0.000 0.500 0.000
Si1 0.000 0.000 0.000
Sn1 0.000 0.000 0.500
Rh1 0.500 0.500 0.500
```

Summary:
- E_form (uncorrected) (eV per atom) = 0.7580
- calculated volume (Å³ per atom) = 17.88
- calculated total energy (eV per atom) = -4.088
- crystal system = tetragonal

***

[9]
Density functional theory data (PBE) for crystalline SrBeSi2Rh at its relaxed geometry.

```
data_SrBeSi2Rh
_space_group_name_H-M_alt 'I -4 m 2'
_space_group_IT_number 119
_space_group_name_Hall 'I -4 -2'
_cell_length_a 4.096
_cell_length_b 4.096
_cell_length_c 10.280
_cell_angle_alpha 90.00
_cell_angle_beta 90.00
_cell_angle_gamma 90.00
loop_
_atom_site_label
_atom_site_fract_x
_atom_site_fract_y
_atom_site_fract_z
Sr1 0.000 0.000 0.000
Be1 0.000 0.500 0.750
Si1 0.000 0.000 0.373
Rh1 0.000 0.500 0.250
```

Summary:
- E_form (uncorrected) (eV per atom) = -0.4860
- calculated volume (Å³ per atom) = 17.25
- calculated total energy (eV per atom) = -5.207
- crystal system = tetragonal

***

[10]
Density functional theory data (PBE) for crystalline TbBe2SiRh at its relaxed geometry.

```
data_TbBe2SiRh
_space_group_name_H-M_alt 'I m m 2'
_space_group_IT_number 44
_cell_length_a 3.851
_cell_length_b 3.918
_cell_length_c 9.838
_cell_angle_alpha 90.00
_cell_angle_beta 90.00
_cell_angle_gamma 90.00
loop_
_space_group_symop_operation_xyz
'x,y,z'
'-x,-y,z'
'-x,y,z'
'x,-y,z'
'x+1/2,y+1/2,z+1/2'
'-x+1/2,-y+1/2,z+1/2'
'-x+1/2,y+1/2,z+1/2'
'x+1/2,-y+1/2,z+1/2'
loop_
_atom_site_label
_atom_site_fract_x
_atom_site_fract_y
_atom_site_fract_z
Tb1 0.000 0.000 0.000
Be1 0.000 0.000 0.379
Be2 0.000 0.500 0.251
Si1 0.000 0.000 0.618
Rh1 0.000 0.500 0.756
```

Summary:
- E_form (uncorrected) (eV per atom) = -0.5507
- calculated volume (Å³ per atom) = 14.84
- calculated total energy (eV per atom) = -5.522
- crystal system = orthorhombic

***

[11]
Density functional theory data (PBE) for crystalline Tb2BeSi4Rh3 at its relaxed geometry.

```
data_Tb2BeSi4Rh3
_space_group_name_H-M_alt 'P -4 m 2'
_space_group_IT_number 115
_cell_length_a 4.061
_cell_length_b 4.061
_cell_length_c 9.964
_cell_angle_alpha 90.00
_cell_angle_beta 90.00
_cell_angle_gamma 90.00
loop_
_space_group_symop_operation_xyz
'x,y,z'
'y,-x,-z'
'-x,-y,z'
'-y,x,-z'
'-x,y,z'
'-y,-x,-z'
'x,-y,z'
'y,x,-z'
loop_
_atom_site_label
_atom_site_fract_x
_atom_site_fract_y
_atom_site_fract_z
Tb1 0.000 0.500 0.248
Be1 0.500 0.500 0.000
Si1 0.000 0.000 0.500
Si2 0.000 0.500 0.868
Si3 0.500 0.500 0.500
Rh1 0.000 0.000 0.000
Rh2 0.000 0.500 0.628
```

Summary:
- E_form (uncorrected) (eV per atom) = -0.8728
- calculated volume (Å³ per atom) = 16.43
- calculated total energy (eV per atom) = -6.546
- crystal system = tetragonal

***

[12]
Density functional theory data (PBE) for crystalline TbBe2SiRh2 at its relaxed geometry.

```
data_TbBe2SiRh2
_space_group_name_H-M_alt 'P 4/m m m'
_space_group_IT_number 123
_space_group_name_Hall '-P 4 2'
_cell_length_a 4.061
_cell_length_b 4.061
_cell_length_c 5.565
_cell_angle_alpha 90.00
_cell_angle_beta 90.00
_cell_angle_gamma 90.00
loop_
_atom_site_label
_atom_site_fract_x
_atom_site_fract_y
_atom_site_fract_z
Tb1 0.000 0.000 0.000
Be1 0.000 0.500 0.500
Si1 0.000 0.000 0.500
Rh1 0.500 0.500 0.254
```

Summary:
- E_form (uncorrected) (eV per atom) = -0.1095
- calculated volume (Å³ per atom) = 15.30
- calculated total energy (eV per atom) = -5.478
- crystal system = tetragonal